The following is a DFT calculation (PBE) of a geometry-optimized PrSiPt structure.

Output
VASP energy in eV/atom: -5.395

Lattice parameters (Å, degrees): 6.778 6.778 6.778 90.00 90.00 90.00
Atoms (fractional coordinates):
Pr (0.000, 0.000, 0.000)
Pr (0.000, 0.500, 0.500)
Pr (0.500, 0.000, 0.500)
Pr (0.500, 0.500, 0.000)
Si (0.250, 0.250, 0.750)
Si (0.250, 0.750, 0.250)
Si (0.750, 0.250, 0.250)
Si (0.750, 0.750, 0.750)
Pt (0.250, 0.250, 0.250)
Pt (0.250, 0.750, 0.750)
Pt (0.750, 0.250, 0.750)
Pt (0.750, 0.750, 0.250)